one.
The following is a GGA-PBEsol calculation of a geometry-optimized Ca2AuCl structure, from Alexandria.

As for the total magnetization: 0.00 μB per formula unit. As for the density: 5.47 g/cm³. The value obtained for the volume is 23.743 Å³ per atom. As for the space group: P4/mmm (123).

The structure in POSCAR format:
```
Ca2AuCl
1.0
3.510 0.000 0.000
0.000 3.510 0.000
0.000 0.000 7.708
Ca Au Cl
2 1 1
Direct
0.000 0.000 0.727 Ca
0.000 0.000 0.273 Ca
0.500 0.500 0.500 Au
0.500 0.500 0.000 Cl
```

two.
The following is a GGA-PBEsol calculation of a geometry-optimized Ca2AuCl structure, from Alexandria.

As for the total magnetization: 0.00 μB per formula unit. As for the density: 5.36 g/cm³. The value obtained for the volume is 24.195 Å³ per atom. As for the space group: Fm-3m (225).

The structure in POSCAR format:
```
Ca2AuCl
1.0
5.153 0.000 0.000
2.577 4.463 0.000
2.577 1.488 4.208
Ca Au Cl
2 1 1
Direct
0.250 0.250 0.250 Ca
0.750 0.750 0.750 Ca
0.000 0.000 0.000 Au
0.500 0.500 0.500 Cl
```

one (178 meV per atom below the next structure)

one.
The following is a GGA-PBEsol calculation of a geometry-optimized Ca2LaAu structure, from Alexandria.

As for the total magnetization: 0.00 μB per formula unit. As for the density: 5.44 g/cm³. The value obtained for the volume is 31.755 Å³ per atom. As for the space group: P4mm (99).

The structure in POSCAR format:
```
Ca2LaAu
1.0
3.687 0.000 0.000
0.000 3.687 0.000
0.000 0.000 9.346
Ca Au La
2 1 1
Direct
0.000 0.000 0.935 Ca
0.500 0.500 0.249 Ca
0.500 0.500 0.752 Au
0.000 0.000 0.564 La
```

two.
The following is a GGA-PBEsol calculation of a geometry-optimized Ca2LaAu structure, from Alexandria.

As for the total magnetization: 0.00 μB per formula unit. As for the density: 6.07 g/cm³. The value obtained for the volume is 28.460 Å³ per atom. As for the space group: Pmmm (47).

The structure in POSCAR format:
```
Ca2LaAu
1.0
-4.252 0.447 1.022
-1.200 -1.149 -4.492
-0.214 -5.220 1.392
Ca Au La
2 1 1
Direct
0.000 0.000 0.000 Ca
0.500 0.500 0.000 Ca
0.000 0.500 0.500 Au
0.500 0.000 0.500 La
```

three.
The following is a GGA-PBEsol calculation of a geometry-optimized Ca2LaAu structure, from Alexandria.

As for the total magnetization: 0.00 μB per formula unit. As for the density: 4.94 g/cm³. The value obtained for the volume is 34.971 Å³ per atom. As for the space group: R3m (160).

The structure in POSCAR format:
```
Ca2LaAu
1.0
3.993 0.000 0.000
1.996 3.458 0.000
1.996 1.153 10.132
Ca Au La
2 1 1
Direct
0.977 0.977 0.069 Ca
0.751 0.751 0.747 Ca
0.250 0.250 0.249 Au
0.522 0.522 0.435 La
```

one (89 meV per atom below the next structure)